[1]
{
  "formula": "NaYZn3",
  "functional": "PBE",
  "state": "optimized geometry",
  "cell": [[4.850, 0.000, 0.000], [0.000, 4.850, 0.000], [0.000, 0.000, 4.850]],
  "species": ["Zn", "Zn", "Zn", "Y", "Na"],
  "frac_coords": [[0.000, 0.000, 0.500], [0.500, 0.000, 0.000], [0.000, 0.500, 0.000], [0.500, 0.500, 0.500], [0.000, 0.000, 0.000]],
  "spacegroup": "No. 221",
  "delta_e_f_mev_per_atom": 433,
  "n_ef_per_ev_cell": 3.79,
  "e_above_lowest_polymorph_mev_per_atom": 0
}

---

[2]
{
  "formula": "NaYZn3",
  "functional": "PBE",
  "state": "optimized geometry",
  "cell": [[-5.306, -1.675, -0.845], [0.708, -4.134, 3.752], [-1.737, 3.431, 4.108]],
  "species": ["Zn", "Zn", "Zn", "Na", "Y"],
  "frac_coords": [[0.000, 0.500, 0.000], [0.500, 0.000, 0.000], [0.000, 0.000, 0.500], [0.500, 0.500, 0.500], [0.000, 0.000, 0.000]],
  "spacegroup": "No. 221",
  "delta_e_f_mev_per_atom": 557,
  "n_ef_per_ev_cell": 3.54,
  "e_above_lowest_polymorph_mev_per_atom": 124
}

---

[3]
{
  "formula": "NaY2Zr2",
  "functional": "PBE",
  "state": "optimized geometry",
  "cell": [[-7.826, 5.321, -0.328], [-1.407, -2.622, -8.990], [-1.809, -2.596, 1.040]],
  "species": ["Y", "Y", "Y", "Y", "Na", "Na", "Zr", "Zr", "Zr", "Zr"],
  "frac_coords": [[0.184, 0.316, 0.000], [0.684, 0.184, 0.000], [0.816, 0.684, 0.000], [0.316, 0.816, 0.000], [0.000, 0.000, 0.000], [0.500, 0.500, 0.000], [0.894, 0.394, 0.500], [0.106, 0.606, 0.500], [0.606, 0.894, 0.500], [0.394, 0.106, 0.500]],
  "spacegroup": "No. 127",
  "delta_e_f_mev_per_atom": 378,
  "n_ef_per_ev_cell": 9.58,
  "e_above_lowest_polymorph_mev_per_atom": 37
}

---

[4]
{
  "formula": "NaYZr2",
  "functional": "PBE",
  "state": "optimized geometry",
  "cell": [[-4.246, 0.027, 0.340], [0.139, -3.744, 2.027], [-1.206, 3.668, 11.333]],
  "species": ["Zr", "Zr", "Zr", "Zr", "Na", "Na", "Y", "Y"],
  "frac_coords": [[0.875, 0.871, 0.750], [0.621, 0.125, 0.250], [0.375, 0.379, 0.750], [0.129, 0.625, 0.250], [0.500, 0.500, 0.000], [0.250, 0.750, 0.500], [0.750, 0.250, 0.500], [0.000, 0.000, 0.000]],
  "spacegroup": "No. 122",
  "delta_e_f_mev_per_atom": 699,
  "n_ef_per_ev_cell": 10.46,
  "e_above_lowest_polymorph_mev_per_atom": 44
}

---

[5]
{
  "formula": "NaY2Zr2",
  "functional": "PBE",
  "state": "optimized geometry",
  "cell": [[-2.632, 1.834, -8.810], [-2.792, -8.893, -1.017], [-3.086, 0.843, 1.097]],
  "species": ["Zr", "Zr", "Zr", "Zr", "Y", "Y", "Y", "Y", "Na", "Na"],
  "frac_coords": [[0.605, 0.105, 0.000], [0.105, 0.395, 0.000], [0.895, 0.605, 0.000], [0.395, 0.895, 0.000], [0.813, 0.313, 0.500], [0.313, 0.187, 0.500], [0.187, 0.687, 0.500], [0.687, 0.813, 0.500], [0.500, 0.500, 0.000], [0.000, 0.000, 0.000]],
  "spacegroup": "No. 127",
  "delta_e_f_mev_per_atom": 341,
  "n_ef_per_ev_cell": 5.44,
  "e_above_lowest_polymorph_mev_per_atom": 0
}

---

[6]
{
  "formula": "NaYZr2",
  "functional": "PBE",
  "state": "optimized geometry",
  "cell": [[0.445, -0.859, 5.175], [-4.176, 0.634, 3.143], [-2.315, -4.195, 2.181]],
  "species": ["Y", "Zr", "Zr", "Na"],
  "frac_coords": [[0.500, 0.500, 0.500], [0.750, 0.750, 0.750], [0.250, 0.250, 0.250], [0.000, 0.000, 0.000]],
  "spacegroup": "No. 225",
  "delta_e_f_mev_per_atom": 656,
  "n_ef_per_ev_cell": 8.41,
  "e_above_lowest_polymorph_mev_per_atom": 0
}

---

[7]
{
  "formula": "Na3Yb",
  "functional": "PBE",
  "state": "optimized geometry",
  "cell": [[-2.969, -0.813, -6.887], [-2.535, -4.212, 5.721], [-4.203, 4.301, 1.304]],
  "species": ["Na", "Na", "Na", "Na", "Na", "Na", "Yb", "Yb"],
  "frac_coords": [[0.674, 0.837, 0.250], [0.837, 0.674, 0.750], [0.326, 0.163, 0.750], [0.163, 0.326, 0.250], [0.837, 0.163, 0.750], [0.163, 0.837, 0.250], [0.667, 0.333, 0.250], [0.333, 0.667, 0.750]],
  "spacegroup": "No. 194",
  "delta_e_f_mev_per_atom": 97,
  "n_ef_per_ev_cell": 37.05
}

---

[8]
{
  "formula": "NaYb6",
  "functional": "PBE",
  "state": "optimized geometry",
  "cell": [[-4.494, -6.852, -2.721], [6.213, 1.820, -5.712], [3.563, -1.754, 7.667]],
  "species": ["Yb", "Yb", "Yb", "Yb", "Yb", "Yb", "Na"],
  "frac_coords": [[0.500, 0.250, 0.750], [0.250, 0.500, 0.750], [0.500, 0.750, 0.250], [0.250, 0.750, 0.500], [0.750, 0.250, 0.500], [0.750, 0.500, 0.250], [0.000, 0.000, 0.000]],
  "spacegroup": "No. 229",
  "delta_e_f_mev_per_atom": 853,
  "n_ef_per_ev_cell": 96.22
}

---

[9]
{
  "formula": "Na6Yb",
  "functional": "PBE",
  "state": "optimized geometry",
  "cell": [[7.414, 0.000, 0.000], [-2.471, 6.990, 0.000], [-2.471, -3.495, 6.053]],
  "species": ["Na", "Na", "Na", "Na", "Na", "Na", "Yb"],
  "frac_coords": [[0.250, 0.750, 0.500], [0.750, 0.250, 0.500], [0.500, 0.750, 0.250], [0.750, 0.500, 0.250], [0.250, 0.500, 0.750], [0.500, 0.250, 0.750], [0.000, 0.000, 0.000]],
  "spacegroup": "No. 229",
  "delta_e_f_mev_per_atom": 351,
  "n_ef_per_ev_cell": 21.57
}

---

[10]
{
  "formula": "Na3Yb",
  "functional": "PBE",
  "state": "optimized geometry",
  "cell": [[-5.348, -2.798, -0.061], [-0.707, -5.226, 2.939], [-3.353, -0.213, 5.016]],
  "species": ["Na", "Na", "Na", "Yb"],
  "frac_coords": [[0.000, 0.000, 0.000], [0.500, 0.500, 0.500], [0.250, 0.250, 0.250], [0.750, 0.750, 0.750]],
  "spacegroup": "No. 225",
  "delta_e_f_mev_per_atom": 98,
  "n_ef_per_ev_cell": 2.37
}

---

[11]
{
  "formula": "NaZn3",
  "functional": "PBE",
  "state": "optimized geometry",
  "cell": [[4.174, 0.000, 0.000], [0.000, 4.174, 0.000], [0.000, 0.000, 4.174]],
  "species": ["Na", "Zn", "Zn", "Zn"],
  "frac_coords": [[0.000, 0.000, 0.000], [0.500, 0.500, 0.000], [0.000, 0.500, 0.500], [0.500, 0.000, 0.500]],
  "spacegroup": "No. 221",
  "delta_e_f_mev_per_atom": 105,
  "n_ef_per_ev_cell": 0.66
}

---

[12]
{
  "formula": "Na8Zn",
  "functional": "PBE",
  "state": "optimized geometry",
  "cell": [[-3.149, -1.916, -3.266], [4.135, -5.240, -4.626], [-3.249, -6.658, 3.327]],
  "species": ["Na", "Na", "Na", "Na", "Na", "Na", "Na", "Na", "Zn"],
  "frac_coords": [[0.345, 0.000, 0.309], [0.324, 0.676, 0.676], [0.655, 0.691, 0.000], [0.000, 0.324, 0.676], [0.655, 0.000, 0.691], [0.000, 0.676, 0.324], [0.676, 0.324, 0.324], [0.345, 0.309, 0.000], [0.000, 0.000, 0.000]],
  "spacegroup": "No. 139",
  "delta_e_f_mev_per_atom": 44,
  "n_ef_per_ev_cell": 4.49
}

---

[13]
{
  "formula": "NaZn",
  "functional": "PBE",
  "state": "optimized geometry",
  "cell": [[-2.117, 0.625, 3.731], [-3.344, -13.107, 0.298], [3.977, -0.960, 2.418]],
  "species": ["Na", "Na", "Na", "Na", "Na", "Na", "Zn", "Zn", "Zn", "Zn", "Zn", "Zn"],
  "frac_coords": [[0.500, 0.334, 0.270], [0.500, 0.666, 0.270], [0.500, 0.500, 0.710], [0.500, 0.834, 0.770], [0.500, 0.166, 0.770], [0.500, 0.000, 0.210], [0.000, 0.169, 0.301], [0.000, 0.500, 0.150], [0.000, 0.000, 0.650], [0.000, 0.831, 0.301], [0.000, 0.669, 0.801], [0.000, 0.331, 0.801]],
  "spacegroup": "No. 38",
  "delta_e_f_mev_per_atom": 107,
  "n_ef_per_ev_cell": 3.76
}